VASP calculation (SCAN) on a PBEsol-optimized structure of LiGaW2O8.

a b c (Å): 4.894 5.655 9.299
angles (deg): 90.00 90.46 90.00
Fractional positions:
1 Li 0.250 0.344 0.500
2 Li 0.750 0.656 0.500
3 Ga 0.250 0.332 0.000
4 Ga 0.750 0.668 0.000
5 W 0.756 0.182 0.250
6 W 0.744 0.182 0.750
7 W 0.256 0.818 0.250
8 W 0.244 0.818 0.750
9 O 0.590 0.382 0.114
10 O 0.075 0.118 0.130
11 O 0.425 0.118 0.870
12 O 0.925 0.882 0.870
13 O 0.575 0.882 0.130
14 O 0.438 0.101 0.349
15 O 0.400 0.620 0.373
16 O 0.910 0.382 0.886
17 O 0.410 0.618 0.886
18 O 0.090 0.618 0.114
19 O 0.100 0.620 0.627
20 O 0.562 0.899 0.651
21 O 0.600 0.380 0.627
22 O 0.900 0.380 0.373
23 O 0.938 0.899 0.349
24 O 0.062 0.101 0.651

Space group: P2/c
Calculated total energy: -470.1 eV for the cell shown